<a>
First-principles (PBE-GGA) data for a relaxed structure of SrTaSbTe2, as listed in the Alexandria database.

Structure (CIF):
```
data_SrTaSbTe2
_cell_length_a 5.8696
_cell_length_b 5.8696
_cell_length_c 5.8094
_cell_angle_alpha 90.00
_cell_angle_beta 90.00
_cell_angle_gamma 90.00
_space_group_name_H-M_alt 'P 4/m m m'
_space_group_IT_number 123
_space_group_name_Hall '-P 4 2'
loop_
_atom_site_label
_atom_site_type_symbol
_atom_site_fract_x
_atom_site_fract_y
_atom_site_fract_z
_atom_site_occupancy
Sr1 Sr 0.0000 0.0000 0.0000 1
Ta1 Ta 0.5000 0.5000 0.5000 1
Sb1 Sb 0.0000 0.0000 0.5000 1
Te1 Te 0.0000 0.5000 0.0000 1
```

Calculated values
total magnetization = 0.34 μB per cell
crystal system = tetragonal



<b>
First-principles (PBE-GGA) data for a relaxed structure of SrTaSbTe2, as listed in the Alexandria database.

Structure (CIF):
```
data_SrTaSbTe2
_cell_length_a 5.5328
_cell_length_b 5.5328
_cell_length_c 5.3877
_cell_angle_alpha 90.00
_cell_angle_beta 90.00
_cell_angle_gamma 90.00
_space_group_name_H-M_alt 'P 4/m m m'
_space_group_IT_number 123
_space_group_name_Hall '-P 4 2'
loop_
_atom_site_label
_atom_site_type_symbol
_atom_site_fract_x
_atom_site_fract_y
_atom_site_fract_z
_atom_site_occupancy
Sr1 Sr 0.0000 0.0000 0.0000 1
Ta1 Ta 0.5000 0.5000 0.5000 1
Sb1 Sb 0.5000 0.5000 0.0000 1
Te1 Te 0.0000 0.5000 0.5000 1
```

Calculated values
total magnetization = 0.00 μB per cell
crystal system = tetragonal



Energies relative to the most stable structure, in meV/atom: <a> 1811; <b> 0.



<a>
First-principles (PBE-GGA) data for a relaxed structure of SrTcSb, as listed in the Alexandria database.

Structure (CIF):
```
data_SrTcSb
_cell_length_a 3.5268
_cell_length_b 3.5268
_cell_length_c 11.7135
_cell_angle_alpha 90.00
_cell_angle_beta 90.00
_cell_angle_gamma 90.00
_space_group_name_H-M_alt 'I 4 m m'
_space_group_IT_number 107
_space_group_name_Hall 'I 4 -2'
loop_
_atom_site_label
_atom_site_type_symbol
_atom_site_fract_x
_atom_site_fract_y
_atom_site_fract_z
_atom_site_occupancy
Sr1 Sr 0.0000 0.0000 0.0000 1
Tc1 Tc 0.0000 0.0000 0.3068 1
Sb1 Sb 0.0000 0.0000 0.7132 1
```

Calculated values
total magnetization = 0.00 μB per cell
crystal system = tetragonal



<b>
First-principles (PBE-GGA) data for a relaxed structure of SrTcSb, as listed in the Alexandria database.

Structure (CIF):
```
data_SrTcSb
_cell_length_a 7.3489
_cell_length_b 7.3489
_cell_length_c 7.3489
_cell_angle_alpha 90.00
_cell_angle_beta 90.00
_cell_angle_gamma 90.00
_space_group_name_H-M_alt 'F -4 3 m'
_space_group_IT_number 216
_space_group_name_Hall 'F -4 2 3'
loop_
_atom_site_label
_atom_site_type_symbol
_atom_site_fract_x
_atom_site_fract_y
_atom_site_fract_z
_atom_site_occupancy
Sr1 Sr 0.0000 0.0000 0.0000 1
Tc1 Tc 0.2500 0.2500 0.2500 1
Sb1 Sb 0.2500 0.2500 0.7500 1
```

Calculated values
total magnetization = 15.44 μB per cell
crystal system = cubic



<c>
First-principles (PBE-GGA) data for a relaxed structure of SrTcSb, as listed in the Alexandria database.

Structure (CIF):
```
data_SrTcSb
_cell_length_a 6.7604
_cell_length_b 6.7604
_cell_length_c 6.7604
_cell_angle_alpha 90.00
_cell_angle_beta 90.00
_cell_angle_gamma 90.00
_space_group_name_H-M_alt 'F -4 3 m'
_space_group_IT_number 216
_space_group_name_Hall 'F -4 2 3'
loop_
_atom_site_label
_atom_site_type_symbol
_atom_site_fract_x
_atom_site_fract_y
_atom_site_fract_z
_atom_site_occupancy
Sr1 Sr 0.0000 0.0000 0.0000 1
Tc1 Tc 0.2500 0.2500 0.7500 1
Sb1 Sb 0.0000 0.0000 0.5000 1
```

Calculated values
total magnetization = 0.00 μB per cell
crystal system = cubic



Energies relative to the most stable structure, in meV/atom: <a> 0; <b> 1228; <c> 373.